# GGA-PBE CdFeCoCl2, relaxed
data_CdFeCoCl2
_space_group_name_H-M_alt 'P 1'
_space_group_IT_number 1
_cell_length_a 4.446
_cell_length_b 5.629
_cell_length_c 4.446
_cell_angle_alpha 90.00
_cell_angle_beta 90.00
_cell_angle_gamma 90.00
loop_
_space_group_symop_operation_xyz
'x,y,z'
loop_
_atom_site_label
_atom_site_type_symbol
_atom_site_fract_x
_atom_site_fract_y
_atom_site_fract_z
_atom_site_occupancy
Cl1 Cl 0.000 0.000 0.500 1
Cl2 Cl 0.500 0.000 0.000 1
Co1 Co 0.000 0.000 0.000 1
Fe1 Fe 0.500 0.500 0.500 1
Cd1 Cd 0.000 0.500 0.000 1
# Density of states at the Fermi level = 5.2 states/eV/f.u.



# GGA-PBE LaY4Mn, relaxed
data_LaY4Mn
_space_group_name_H-M_alt 'P 1'
_space_group_IT_number 1
_cell_length_a 6.516
_cell_length_b 6.516
_cell_length_c 6.516
_cell_angle_alpha 60.00
_cell_angle_beta 60.00
_cell_angle_gamma 60.00
loop_
_space_group_symop_operation_xyz
'x,y,z'
loop_
_atom_site_label
_atom_site_type_symbol
_atom_site_fract_x
_atom_site_fract_y
_atom_site_fract_z
_atom_site_occupancy
La1 La 0.750 0.750 0.750 1
Y1 Y 0.876 0.375 0.375 1
Y2 Y 0.375 0.375 0.876 1
Y3 Y 0.375 0.876 0.375 1
Y4 Y 0.375 0.375 0.375 1
Mn1 Mn 0.000 0.000 0.000 1
# Energy of formation from the pure elements = 538 meV per atom
# Density of states at the Fermi level = 6.8 states/eV/f.u.



# GGA-PBE USbN, relaxed
data_USbN
_space_group_name_H-M_alt 'P 1'
_space_group_IT_number 1
_cell_length_a 4.621
_cell_length_b 3.800
_cell_length_c 3.800
_cell_angle_alpha 120.00
_cell_angle_beta 90.00
_cell_angle_gamma 90.00
loop_
_space_group_symop_operation_xyz
'x,y,z'
loop_
_atom_site_label
_atom_site_type_symbol
_atom_site_fract_x
_atom_site_fract_y
_atom_site_fract_z
_atom_site_occupancy
Sb1 Sb 0.667 0.333 0.667 1
U1 U 0.167 0.667 0.333 1
N1 N 0.167 0.000 0.000 1
# Offset from the most stable computed form = 243 meV per atom
# Density of states at the Fermi level = 2.1 states/eV/f.u.



# GGA-PBE Mg14AlCuO16, relaxed
data_Mg14AlCuO16
_space_group_name_H-M_alt 'P 1'
_space_group_IT_number 1
_cell_length_a 4.223
_cell_length_b 8.505
_cell_length_c 8.575
_cell_angle_alpha 90.00
_cell_angle_beta 90.00
_cell_angle_gamma 90.00
loop_
_space_group_symop_operation_xyz
'x,y,z'
loop_
_atom_site_label
_atom_site_type_symbol
_atom_site_fract_x
_atom_site_fract_y
_atom_site_fract_z
_atom_site_occupancy
Mg1 Mg 0.000 0.500 0.000 1
Mg2 Mg 0.000 0.500 0.500 1
Mg3 Mg 0.500 0.000 0.255 1
Mg4 Mg 0.500 0.000 0.745 1
Mg5 Mg 0.500 0.500 0.252 1
Mg6 Mg 0.500 0.500 0.748 1
Mg7 Mg 0.500 0.250 0.000 1
Mg8 Mg 0.500 0.247 0.500 1
Mg9 Mg 0.500 0.750 0.000 1
Mg10 Mg 0.500 0.753 0.500 1
Mg11 Mg 0.000 0.248 0.255 1
Mg12 Mg 0.000 0.248 0.745 1
Mg13 Mg 0.000 0.752 0.255 1
Mg14 Mg 0.000 0.752 0.745 1
Al1 Al 0.000 0.000 0.000 1
Cu1 Cu 0.000 0.000 0.500 1
O1 O 0.000 0.237 0.000 1
O2 O 0.000 0.262 0.500 1
O3 O 0.000 0.763 0.000 1
O4 O 0.000 0.738 0.500 1
O5 O 0.500 0.249 0.249 1
O6 O 0.500 0.249 0.751 1
O7 O 0.500 0.751 0.249 1
O8 O 0.500 0.751 0.751 1
O9 O 0.500 0.000 0.000 1
O10 O 0.500 0.000 0.500 1
O11 O 0.500 0.500 0.000 1
O12 O 0.500 0.500 0.500 1
O13 O 0.000 0.000 0.215 1
O14 O 0.000 0.000 0.785 1
O15 O 0.000 0.500 0.244 1
O16 O 0.000 0.500 0.756 1
# Offset from the most stable computed form = 0 meV per atom



# GGA-PBE Co2SiHIr, relaxed
data_Co2SiHIr
_space_group_name_H-M_alt 'P 1'
_space_group_IT_number 1
_cell_length_a 3.612
_cell_length_b 3.612
_cell_length_c 3.782
_cell_angle_alpha 90.00
_cell_angle_beta 90.00
_cell_angle_gamma 90.00
loop_
_space_group_symop_operation_xyz
'x,y,z'
loop_
_atom_site_label
_atom_site_type_symbol
_atom_site_fract_x
_atom_site_fract_y
_atom_site_fract_z
_atom_site_occupancy
H1 H 0.000 0.000 0.000 1
Si1 Si 0.500 0.500 0.500 1
Ir1 Ir 0.000 0.000 0.500 1
Co1 Co 0.000 0.500 0.000 1
Co2 Co 0.500 0.000 0.000 1
# Density of states at the Fermi level = 3.4 states/eV/f.u.



# GGA-PBE Nd4Au, relaxed
data_Nd4Au
_space_group_name_H-M_alt 'P 1'
_space_group_IT_number 1
_cell_length_a 5.760
_cell_length_b 5.760
_cell_length_c 5.760
_cell_angle_alpha 90.00
_cell_angle_beta 90.00
_cell_angle_gamma 90.00
loop_
_space_group_symop_operation_xyz
'x,y,z'
loop_
_atom_site_label
_atom_site_type_symbol
_atom_site_fract_x
_atom_site_fract_y
_atom_site_fract_z
_atom_site_occupancy
Nd1 Nd 0.000 0.000 0.000 1
Nd2 Nd 0.500 0.000 0.500 1
Nd3 Nd 0.000 0.500 0.500 1
Nd4 Nd 0.500 0.500 0.000 1
Au1 Au 0.500 0.500 0.500 1
# Offset from the most stable computed form = 211 meV per atom
# Energy of formation from the pure elements = -15 meV per atom
# Density of states at the Fermi level = 9.0 states/eV/f.u.



# GGA-PBE ZnTePd2, relaxed
data_ZnTePd2
_space_group_name_H-M_alt 'P 1'
_space_group_IT_number 1
_cell_length_a 3.623
_cell_length_b 4.379
_cell_length_c 4.379
_cell_angle_alpha 90.00
_cell_angle_beta 90.00
_cell_angle_gamma 90.00
loop_
_space_group_symop_operation_xyz
'x,y,z'
loop_
_atom_site_label
_atom_site_type_symbol
_atom_site_fract_x
_atom_site_fract_y
_atom_site_fract_z
_atom_site_occupancy
Zn1 Zn 0.500 0.500 0.500 1
Te1 Te 0.500 0.000 0.000 1
Pd1 Pd 0.000 0.000 0.500 1
Pd2 Pd 0.000 0.500 0.000 1
# Offset from the most stable computed form = 0 meV per atom
# Density of states at the Fermi level = 1.5 states/eV/f.u.



no.,uncorrected energy (eV for the cell shown)
1,-17.68
2,-36.73
3,-25.98
4,-191.95
5,-32.88
6,-22.42
7,-15.92